Entry 1:
# MgTlCoGe2, optimized geometry, DFT PBE
# **Density**: 6.90 g/cm³
# **E_tot**: -0.2960 Ry/atom
data_MgTlCoGe2
_symmetry_space_group_name_H-M 'P 1'
_symmetry_Int_Tables_number 1
_cell_length_a 4.553
_cell_length_b 4.553
_cell_length_c 5.024
_cell_angle_alpha 90.00
_cell_angle_beta 90.00
_cell_angle_gamma 90.00
loop_
_symmetry_equiv_pos_as_xyz
'x,y,z'
loop_
_atom_site_label
_atom_site_type_symbol
_atom_site_fract_x
_atom_site_fract_y
_atom_site_fract_z
_atom_site_occupancy
Ge1 Ge 0.000 0.500 0.000 1
Ge2 Ge 0.500 0.000 0.000 1
Co1 Co 0.000 0.000 0.000 1
Tl1 Tl 0.500 0.500 0.500 1
Mg1 Mg 0.000 0.000 0.500 1



Entry 2:
# Mg2TlCoGe, optimized geometry, DFT PBE
# **Density**: 5.86 g/cm³
# **E_tot**: -0.2553 Ry/atom
data_Mg2TlCoGe
_symmetry_space_group_name_H-M 'P 1'
_symmetry_Int_Tables_number 1
_cell_length_a 4.957
_cell_length_b 4.957
_cell_length_c 4.438
_cell_angle_alpha 90.00
_cell_angle_beta 90.00
_cell_angle_gamma 90.00
loop_
_symmetry_equiv_pos_as_xyz
'x,y,z'
loop_
_atom_site_label
_atom_site_type_symbol
_atom_site_fract_x
_atom_site_fract_y
_atom_site_fract_z
_atom_site_occupancy
Co1 Co 0.000 0.000 0.000 1
Mg1 Mg 0.500 0.000 0.000 1
Mg2 Mg 0.000 0.500 0.000 1
Ge1 Ge 0.000 0.000 0.500 1
Tl1 Tl 0.500 0.500 0.500 1



Entry 3:
# TmMgCo2Ge2, optimized geometry, DFT PBE
# **Density**: 7.91 g/cm³
# **E_tot**: -0.3957 Ry/atom
data_TmMgCo2Ge2
_symmetry_space_group_name_H-M 'P 1'
_symmetry_Int_Tables_number 1
_cell_length_a 4.117
_cell_length_b 4.117
_cell_length_c 6.526
_cell_angle_alpha 90.00
_cell_angle_beta 90.00
_cell_angle_gamma 120.00
loop_
_symmetry_equiv_pos_as_xyz
'x,y,z'
loop_
_atom_site_label
_atom_site_type_symbol
_atom_site_fract_x
_atom_site_fract_y
_atom_site_fract_z
_atom_site_occupancy
Co1 Co 0.667 0.333 0.355 1
Co2 Co 0.333 0.667 0.645 1
Ge1 Ge 0.667 0.333 0.731 1
Ge2 Ge 0.333 0.667 0.269 1
Tm1 Tm 0.000 0.000 0.000 1
Mg1 Mg 0.000 0.000 0.500 1



Entry 4:
# MgUCo2Ge2, optimized geometry, DFT PBE
# **Density**: 9.00 g/cm³
# **E_tot**: -0.4649 Ry/atom
data_MgUCo2Ge2
_symmetry_space_group_name_H-M 'P 1'
_symmetry_Int_Tables_number 1
_cell_length_a 4.109
_cell_length_b 4.109
_cell_length_c 6.629
_cell_angle_alpha 90.00
_cell_angle_beta 90.00
_cell_angle_gamma 120.00
loop_
_symmetry_equiv_pos_as_xyz
'x,y,z'
loop_
_atom_site_label
_atom_site_type_symbol
_atom_site_fract_x
_atom_site_fract_y
_atom_site_fract_z
_atom_site_occupancy
Ge1 Ge 0.333 0.667 0.271 1
Ge2 Ge 0.667 0.333 0.729 1
Co1 Co 0.333 0.667 0.759 1
Co2 Co 0.667 0.333 0.241 1
U1 U 0.000 0.000 0.000 1
Mg1 Mg 0.000 0.000 0.500 1



Entry 5:
# YMgCo2Ge2, optimized geometry, DFT PBE
# **Density**: 6.38 g/cm³
# **E_tot**: -0.4218 Ry/atom
data_YMgCo2Ge2
_symmetry_space_group_name_H-M 'P 1'
_symmetry_Int_Tables_number 1
_cell_length_a 4.129
_cell_length_b 4.129
_cell_length_c 6.633
_cell_angle_alpha 90.00
_cell_angle_beta 90.00
_cell_angle_gamma 120.00
loop_
_symmetry_equiv_pos_as_xyz
'x,y,z'
loop_
_atom_site_label
_atom_site_type_symbol
_atom_site_fract_x
_atom_site_fract_y
_atom_site_fract_z
_atom_site_occupancy
Co1 Co 0.333 0.667 0.642 1
Co2 Co 0.667 0.333 0.358 1
Ge1 Ge 0.667 0.333 0.726 1
Ge2 Ge 0.333 0.667 0.274 1
Y1 Y 0.000 0.000 0.000 1
Mg1 Mg 0.000 0.000 0.500 1



Entry 6:
# MgZn4Co2Ge, optimized geometry, DFT PBE
# **Density**: 6.26 g/cm³
# **E_tot**: -0.2201 Ry/atom
data_MgZn4Co2Ge
_symmetry_space_group_name_H-M 'P 1'
_symmetry_Int_Tables_number 1
_cell_length_a 3.424
_cell_length_b 3.424
_cell_length_c 10.776
_cell_angle_alpha 90.00
_cell_angle_beta 90.00
_cell_angle_gamma 90.00
loop_
_symmetry_equiv_pos_as_xyz
'x,y,z'
loop_
_atom_site_label
_atom_site_type_symbol
_atom_site_fract_x
_atom_site_fract_y
_atom_site_fract_z
_atom_site_occupancy
Ge1 Ge 0.000 0.000 0.500 1
Zn1 Zn 0.500 0.000 0.778 1
Zn2 Zn 0.000 0.500 0.778 1
Zn3 Zn 0.500 0.000 0.222 1
Zn4 Zn 0.000 0.500 0.222 1
Co1 Co 0.500 0.500 0.608 1
Co2 Co 0.500 0.500 0.392 1
Mg1 Mg 0.000 0.000 0.000 1



Entry 7:
# MnCo2Ge2, optimized geometry, DFT PBE
# **Excess energy over the best structure of this formula in the dataset**: 0.000 eV per atom
# **Density**: 8.26 g/cm³
# **E_tot**: -0.4848 Ry/atom
data_MnCo2Ge2
_symmetry_space_group_name_H-M 'P 1'
_symmetry_Int_Tables_number 1
_cell_length_a 6.859
_cell_length_b 6.859
_cell_length_c 2.719
_cell_angle_alpha 90.00
_cell_angle_beta 90.00
_cell_angle_gamma 90.00
loop_
_symmetry_equiv_pos_as_xyz
'x,y,z'
loop_
_atom_site_label
_atom_site_type_symbol
_atom_site_fract_x
_atom_site_fract_y
_atom_site_fract_z
_atom_site_occupancy
Co1 Co 0.641 0.859 0.500 1
Co2 Co 0.359 0.141 0.500 1
Co3 Co 0.859 0.359 0.500 1
Co4 Co 0.141 0.641 0.500 1
Mn1 Mn 0.500 0.500 0.000 1
Mn2 Mn 0.000 0.000 0.000 1
Ge1 Ge 0.345 0.845 0.000 1
Ge2 Ge 0.845 0.655 0.000 1
Ge3 Ge 0.655 0.155 0.000 1
Ge4 Ge 0.155 0.345 0.000 1



Entry 8:
# MnCo2Ge, optimized geometry, DFT PBE
# **Density**: 8.50 g/cm³
# **E_tot**: -0.5233 Ry/atom
data_MnCo2Ge
_symmetry_space_group_name_H-M 'P 1'
_symmetry_Int_Tables_number 1
_cell_length_a 2.930
_cell_length_b 2.930
_cell_length_c 5.585
_cell_angle_alpha 90.00
_cell_angle_beta 90.00
_cell_angle_gamma 90.00
loop_
_symmetry_equiv_pos_as_xyz
'x,y,z'
loop_
_atom_site_label
_atom_site_type_symbol
_atom_site_fract_x
_atom_site_fract_y
_atom_site_fract_z
_atom_site_occupancy
Ge1 Ge 0.500 0.500 0.500 1
Co1 Co 0.000 0.000 0.744 1
Co2 Co 0.000 0.000 0.256 1
Mn1 Mn 0.500 0.500 0.000 1



Entry 9:
# MnCoGe4, optimized geometry, DFT PBE
# **Excess energy over the best structure of this formula in the dataset**: 0.207 eV per atom
# **Density**: 6.26 g/cm³
# **E_tot**: -0.4129 Ry/atom
data_MnCoGe4
_symmetry_space_group_name_H-M 'P 1'
_symmetry_Int_Tables_number 1
_cell_length_a 6.708
_cell_length_b 6.708
_cell_length_c 6.708
_cell_angle_alpha 101.23
_cell_angle_beta 101.23
_cell_angle_gamma 127.62
loop_
_symmetry_equiv_pos_as_xyz
'x,y,z'
loop_
_atom_site_label
_atom_site_type_symbol
_atom_site_fract_x
_atom_site_fract_y
_atom_site_fract_z
_atom_site_occupancy
Ge1 Ge 0.102 0.840 0.738 1
Ge2 Ge 0.636 0.898 0.738 1
Ge3 Ge 0.102 0.364 0.262 1
Ge4 Ge 0.648 0.410 0.762 1
Ge5 Ge 0.648 0.886 0.238 1
Ge6 Ge 0.590 0.352 0.238 1
Ge7 Ge 0.114 0.352 0.762 1
Ge8 Ge 0.160 0.898 0.262 1
Co1 Co 0.250 0.750 0.500 1
Co2 Co 0.500 0.500 0.000 1
Mn1 Mn 0.000 0.000 0.000 1
Mn2 Mn 0.750 0.250 0.500 1



Entry 10:
# MnCo3Ge, optimized geometry, DFT PBE
# **Excess energy over the best structure of this formula in the dataset**: 1.255 eV per atom
# **Density**: 6.57 g/cm³
# **E_tot**: -0.4199 Ry/atom
data_MnCo3Ge
_symmetry_space_group_name_H-M 'P 1'
_symmetry_Int_Tables_number 1
_cell_length_a 4.254
_cell_length_b 4.254
_cell_length_c 4.254
_cell_angle_alpha 90.00
_cell_angle_beta 90.00
_cell_angle_gamma 90.00
loop_
_symmetry_equiv_pos_as_xyz
'x,y,z'
loop_
_atom_site_label
_atom_site_type_symbol
_atom_site_fract_x
_atom_site_fract_y
_atom_site_fract_z
_atom_site_occupancy
Ge1 Ge 0.000 0.000 0.000 1
Co1 Co 0.500 0.000 0.000 1
Co2 Co 0.000 0.000 0.500 1
Co3 Co 0.000 0.500 0.000 1
Mn1 Mn 0.500 0.500 0.500 1



Entry 11:
# MnCo2Ge2, optimized geometry, DFT PBE
# **Excess energy over the best structure of this formula in the dataset**: 0.233 eV per atom
# **Density**: 8.34 g/cm³
# **E_tot**: -0.4677 Ry/atom
data_MnCo2Ge2
_symmetry_space_group_name_H-M 'P 1'
_symmetry_Int_Tables_number 1
_cell_length_a 6.812
_cell_length_b 6.812
_cell_length_c 2.731
_cell_angle_alpha 90.00
_cell_angle_beta 90.00
_cell_angle_gamma 90.00
loop_
_symmetry_equiv_pos_as_xyz
'x,y,z'
loop_
_atom_site_label
_atom_site_type_symbol
_atom_site_fract_x
_atom_site_fract_y
_atom_site_fract_z
_atom_site_occupancy
Mn1 Mn 0.500 0.500 0.000 1
Mn2 Mn 0.000 0.000 0.000 1
Co1 Co 0.631 0.131 0.000 1
Co2 Co 0.369 0.869 0.000 1
Co3 Co 0.869 0.631 0.000 1
Co4 Co 0.131 0.369 0.000 1
Ge1 Ge 0.832 0.332 0.500 1
Ge2 Ge 0.168 0.668 0.500 1
Ge3 Ge 0.668 0.832 0.500 1
Ge4 Ge 0.332 0.168 0.500 1



Entry 12:
# MnCoGe2, optimized geometry, DFT PBE
# **Excess energy over the best structure of this formula in the dataset**: 0.000 eV per atom
# **Density**: 7.20 g/cm³
# **E_tot**: -0.4700 Ry/atom
data_MnCoGe2
_symmetry_space_group_name_H-M 'P 1'
_symmetry_Int_Tables_number 1
_cell_length_a 3.905
_cell_length_b 3.905
_cell_length_c 5.054
_cell_angle_alpha 67.27
_cell_angle_beta 67.27
_cell_angle_gamma 60.00
loop_
_symmetry_equiv_pos_as_xyz
'x,y,z'
loop_
_atom_site_label
_atom_site_type_symbol
_atom_site_fract_x
_atom_site_fract_y
_atom_site_fract_z
_atom_site_occupancy
Ge1 Ge 0.066 0.066 0.801 1
Ge2 Ge 0.267 0.267 0.199 1
Mn1 Mn 0.490 0.490 0.531 1
Co1 Co 0.677 0.677 0.968 1



Entry 13:
# Mn2Co3Ge, optimized geometry, DFT PBE
# **Excess energy over the best structure of this formula in the dataset**: 0.000 eV per atom
# **Density**: 8.43 g/cm³
# **E_tot**: -0.5518 Ry/atom
data_Mn2Co3Ge
_symmetry_space_group_name_H-M 'P 1'
_symmetry_Int_Tables_number 1
_cell_length_a 4.053
_cell_length_b 6.452
_cell_length_c 5.700
_cell_angle_alpha 90.00
_cell_angle_beta 90.00
_cell_angle_gamma 71.69
loop_
_symmetry_equiv_pos_as_xyz
'x,y,z'
loop_
_atom_site_label
_atom_site_type_symbol
_atom_site_fract_x
_atom_site_fract_y
_atom_site_fract_z
_atom_site_occupancy
Co1 Co 0.500 0.000 0.745 1
Co2 Co 0.831 0.337 0.753 1
Co3 Co 0.169 0.663 0.753 1
Co4 Co 0.169 0.663 0.247 1
Co5 Co 0.831 0.337 0.247 1
Co6 Co 0.500 0.000 0.255 1
Mn1 Mn 0.667 0.666 0.500 1
Mn2 Mn 0.000 0.000 0.000 1
Mn3 Mn 0.000 0.000 0.500 1
Mn4 Mn 0.333 0.334 0.500 1
Ge1 Ge 0.341 0.317 0.000 1
Ge2 Ge 0.659 0.683 0.000 1